No. 1
VASP calculation (GGA-PBE) on TaMn3Rh after structural relaxation.

```
TaMn3Rh
1.0
-1.0337 -4.1433 -1.7693
3.2969 -1.9329 2.6001
-3.0705 -0.6805 3.3875
Mn Rh Ta
3 1 1
direct
0.0000 0.5000 0.0000
0.0000 0.0000 0.5000
0.5000 0.0000 0.0000
0.0000 0.0000 0.0000
0.5000 0.5000 0.5000
```

Summary:
The value obtained for the total magnetization is 1.936 μB per atom. The calculation puts the excess energy over the best structure of this formula in the dataset at 0.000 eV/atom. For the calculated total energy, the calculation gives -40.407 eV/cell. Its formation energy is 1.2611 eV/atom.


No. 2
VASP calculation (GGA-PBE) on LaMoPb2 after structural relaxation.

```
LaMoPb2
1.0
3.2951 -0.0480 0.0000
-1.1410 3.0916 0.0000
0.0000 0.0000 10.7443
La Mo Pb
1 1 2
direct
0.0000 0.0000 0.5437
0.5000 0.5000 0.7459
0.0000 0.0000 0.9520
0.5000 0.5000 0.2584
```

Summary:
The value obtained for the total magnetization is 0.000 μB per atom. The calculation puts the excess energy over the best structure of this formula in the dataset at 0.214 eV/atom. For the calculated total energy, the calculation gives -21.674 eV/cell. Its formation energy is 0.3753 eV/atom.


No. 3
VASP calculation (GGA-PBE) on Os8Pt after structural relaxation.

```
Os8Pt
1.0
4.1324 -4.3884 -1.0208
-5.6477 1.0003 2.1164
-1.3785 0.9237 -5.8841
Os Pt
8 1
direct
0.3374 0.0000 0.3374
0.6626 0.0000 0.6626
0.0000 0.6626 0.6626
0.3296 0.6704 0.0000
0.6704 0.6704 0.3407
0.0000 0.3374 0.3374
0.3296 0.3296 0.6593
0.6704 0.3296 0.0000
0.0000 0.0000 0.0000
```

Summary:
The value obtained for the total magnetization is 0.000 μB per atom. For the calculated total energy, the calculation gives -94.711 eV/cell. Its formation energy is 0.1297 eV/atom.


No. 4
VASP calculation (GGA-PBE) on FeICl2 after structural relaxation.

```
FeICl2
1.0
3.5387 -1.9294 3.1319
2.8596 3.1218 2.8515
-0.6893 0.1879 5.0541
I Fe Cl
1 1 2
direct
0.5000 0.5000 0.5000
0.0000 0.0000 0.0000
0.2500 0.2500 0.2500
0.7500 0.7500 0.7500
```

Summary:
The value obtained for the total magnetization is 1.225 μB per atom. The calculation puts the excess energy over the best structure of this formula in the dataset at 0.936 eV/atom. The formation energy from raw total energies is 581 meV per atom. For the calculated total energy, the calculation gives -11.381 eV/cell.


No. 5
VASP calculation (GGA-PBE) on K2SiTe after structural relaxation.

```
K2SiTe
1.0
3.4253 -0.0012 0.0000
0.0009 3.4253 0.0000
0.0000 0.0000 10.4500
K Si Te
2 1 1
direct
0.0000 0.0000 0.0056
0.0000 0.0000 0.4944
0.5000 0.5000 0.2500
0.5000 0.5000 0.7500
```

Summary:
The value obtained for the total magnetization is 0.000 μB per atom. The calculation puts the excess energy over the best structure of this formula in the dataset at 0.261 eV/atom. The formation energy from raw total energies is 3 meV per atom. For the calculated total energy, the calculation gives -10.750 eV/cell.


No. 6
VASP calculation (GGA-PBE) on PuBi3Te6 after structural relaxation.

```
PuBi3Te6
1.0
4.3820 0.0000 0.0000
0.0000 13.2607 -0.0595
0.0000 -4.4834 12.4033
Pu Bi Te
2 6 12
direct
0.7500 0.0399 0.6939
0.2500 0.9601 0.3061
0.7500 0.4395 0.8407
0.2500 0.5605 0.1593
0.7500 0.7014 0.4625
0.2500 0.2986 0.5375
0.7500 0.1494 0.0996
0.2500 0.8506 0.9004
0.7500 0.4698 0.6196
0.2500 0.5302 0.3804
0.7500 0.9253 0.1078
0.2500 0.0747 0.8922
0.7500 0.3936 0.0693
0.2500 0.6064 0.9307
0.7500 0.7605 0.2622
0.2500 0.2395 0.7378
0.7500 0.0988 0.4690
0.2500 0.9012 0.5310
0.7500 0.8059 0.7337
0.2500 0.1941 0.2663
```

Summary:
The value obtained for the total magnetization is 0.499 μB per atom. The formation energy from raw total energies is -389 meV per atom. For the calculated total energy, the calculation gives -97.429 eV/cell.